# 1
Density functional theory data (PBE-GGA) for a relaxed structure of Mg2Os.

Cell: 2.716 15.448 4.692 Å, 90.00 90.00 90.00°
Space group Cmcm (No. 63)
Inequivalent atoms, fractional coordinates:
Mg  0.000  0.049  0.250
Mg  0.000  0.282  0.750
Os  0.000  0.380  0.250

## Properties
DFT formation energy	40	kJ/mol of formula units
volume	16.40	A^3/atom

***

# 2
Density functional theory data (PBE-GGA) for a relaxed structure of InCoSb2.

Cell: 4.422 4.422 9.167 Å, 90.00 90.00 90.00°
Space group I-4m2 (No. 119)
Inequivalent atoms, fractional coordinates:
In  0.000  0.000  0.000
Co  0.000  0.500  0.250
Sb  0.000  0.000  0.500
Sb  0.000  0.500  0.750

## Properties
formation energy (no corrections)	0.51	eV/atom
volume	22.41	A^3/atom

***

# 3
Density functional theory data (PBE-GGA) for a relaxed structure of TaTiO4.

Cell: 5.654 4.777 5.666 Å, 90.00 115.28 90.00°
Space group P2_1/c (No. 14)
Inequivalent atoms, fractional coordinates:
Ta  0.000  0.000  0.000
Ti  0.500  0.000  0.500
O  0.147  0.202  0.345
O  0.345  0.698  0.646

## Properties
formation energy (no corrections)	-2.85	eV/atom
volume	11.53	A^3/atom

***

# 4
Density functional theory data (PBE-GGA) for a relaxed structure of SbSe2Cl.

Cell: 3.827 8.742 7.910 Å, 90.00 90.00 90.00°
Space group Cmmm (No. 65)
Inequivalent atoms, fractional coordinates:
Sb  0.000  0.000  0.000
Se  0.000  0.500  0.237
Cl  0.000  0.000  0.500

## Properties
ΔE to the lowest computed polymorph	0.437	eV per atom
formation energy (no corrections)	0.13	eV/atom
volume	33.08	A^3/atom

***

Question: Number 3 is which compound?
Answer: TaTiO4

***

Question: What is the volume in the second record?
Answer: 22.41 A^3/atom

***

Question: Look up the volume of the fourth one.
Answer: 33.08 A^3/atom